Arrangement a

First-principles (GGA+U) data for Li2CoSi2O6 after structural relaxation, as listed in Alexandria.

POSCAR file:
```
Li2CoSi2O6
1.0
5.4749 0.0000 0.0000
0.0000 4.7687 0.0000
-0.4792 0.0000 9.7031
Li Co Si O
4 2 4 12
Direct
0.1521 0.0000 0.3346
0.3384 0.4999 0.4883
0.6616 0.9999 0.5117
0.8479 0.5000 0.6654
0.2718 0.5069 0.1478
0.7282 0.0069 0.8522
0.1875 0.9965 0.6611
0.3685 0.4938 0.8245
0.6315 0.9938 0.1755
0.8125 0.4965 0.3389
0.0983 0.4105 0.3233
0.2100 0.3462 0.6858
0.2303 0.4179 0.9590
0.3009 0.9180 0.5159
0.3494 0.9011 0.1874
0.3631 0.8404 0.7858
0.6369 0.3404 0.2142
0.6506 0.4011 0.8126
0.6991 0.4180 0.4841
0.7697 0.9179 0.0410
0.7900 0.8462 0.3142
0.9017 0.9105 0.6767
```

## Properties
M_tot = 6.00 μB/cell

=====

Arrangement b

First-principles (GGA+U) data for Li2CoSi2O6 after structural relaxation, as listed in Alexandria.

POSCAR file:
```
Li2CoSi2O6
1.0
0.0000 9.7325 3.6235
3.6500 0.0000 3.6235
3.6500 9.7325 0.0000
Li Co Si O
4 2 4 12
Direct
0.0627 0.4373 0.1031
0.1469 0.8531 0.1873
0.4373 0.0627 0.3969
0.8531 0.1469 0.8127
0.0016 0.0016 0.9984
0.2516 0.2516 0.2484
0.2014 0.6629 0.4628
0.5771 0.7872 0.5871
0.6629 0.2014 0.6729
0.7872 0.5771 0.0486
0.1785 0.6148 0.3355
0.2013 0.9787 0.4660
0.3789 0.9145 0.6352
0.4757 0.4883 0.2998
0.4883 0.4757 0.7362
0.5138 0.9502 0.7617
0.6148 0.1785 0.8711
0.7840 0.8961 0.0487
0.8961 0.7840 0.2713
0.9145 0.3789 0.0715
0.9502 0.5138 0.7743
0.9787 0.2013 0.3539
```

## Properties
M_tot = 6.00 μB/cell

=====

Arrangement c

First-principles (GGA+U) data for Li2CoSi2O6 after structural relaxation, as listed in Alexandria.

POSCAR file:
```
Li2CoSi2O6
1.0
2.9146 -4.8303 0.0000
2.9146 4.8303 0.0000
-0.0645 0.0000 9.3368
Li Co Si O
4 2 4 12
Direct
0.1034 0.7734 0.6168
0.2266 0.8966 0.8832
0.7734 0.1034 0.1168
0.8966 0.2266 0.3832
0.2498 0.7502 0.2500
0.7502 0.2498 0.7500
0.3006 0.3625 0.6348
0.3625 0.3006 0.1348
0.6375 0.6994 0.8652
0.6994 0.6375 0.3652
0.0103 0.7356 0.4099
0.1293 0.3595 0.2037
0.2644 0.9897 0.0901
0.3595 0.1293 0.7037
0.3829 0.6172 0.7500
0.5000 0.5000 0.0000
0.5000 0.5000 0.5000
0.6172 0.3829 0.2500
0.6405 0.8707 0.2963
0.7356 0.0103 0.9099
0.8707 0.6405 0.7963
0.9897 0.2644 0.5901
```

## Properties
M_tot = 6.00 μB/cell

=====

arrangement b is the most stable structure; the next one sits 40 meV/atom above it.

=====

Arrangement a

First-principles (GGA+U) data for LiCoSiO4 after structural relaxation, as listed in Alexandria.

POSCAR file:
```
LiCoSiO4
1.0
5.6904 0.0000 0.0000
0.0000 5.6904 0.0000
0.0000 0.0000 8.0354
Li Co Si O
4 4 4 16
Direct
0.0000 0.2274 0.0000
0.0000 0.7726 0.5000
0.2274 0.0000 0.2500
0.7726 0.0000 0.7500
0.2285 0.5000 0.2500
0.5000 0.2285 0.0000
0.5000 0.7715 0.5000
0.7715 0.5000 0.7500
0.2571 0.2571 0.6250
0.2571 0.7429 0.8750
0.7429 0.2571 0.3750
0.7429 0.7429 0.1250
0.0149 0.2602 0.7385
0.0149 0.7398 0.7615
0.2602 0.0149 0.5115
0.2600 0.4954 0.5004
0.2600 0.5046 0.9996
0.2602 0.9851 0.9885
0.4954 0.2600 0.7496
0.4954 0.7400 0.7504
0.5046 0.2600 0.2504
0.5046 0.7400 0.2496
0.7398 0.0149 0.4885
0.7400 0.4954 0.4996
0.7400 0.5046 0.0004
0.7398 0.9851 0.0115
0.9851 0.2602 0.2615
0.9851 0.7398 0.2385
```

## Properties
M_tot = 16.00 μB/cell

=====

Arrangement b

First-principles (GGA+U) data for LiCoSiO4 after structural relaxation, as listed in Alexandria.

POSCAR file:
```
LiCoSiO4
1.0
5.0931 0.0000 0.0000
0.0000 10.3407 0.0000
-5.0425 0.0000 6.6492
Li Co Si O
4 4 4 16
Direct
0.2068 0.1533 0.0131
0.2068 0.3467 0.5131
0.7932 0.6533 0.4869
0.7932 0.8467 0.9869
0.2957 0.6673 0.9852
0.2957 0.8327 0.4852
0.7043 0.1673 0.5148
0.7043 0.3327 0.0148
0.0381 0.5925 0.2313
0.0381 0.9075 0.7313
0.9619 0.0925 0.2687
0.9619 0.4075 0.7687
0.0170 0.5628 0.7581
0.0170 0.9372 0.2581
0.1318 0.6629 0.4374
0.1318 0.8371 0.9374
0.2939 0.1636 0.4636
0.2939 0.3364 0.9636
0.3448 0.6203 0.2188
0.3448 0.8797 0.7188
0.6552 0.1203 0.2812
0.6552 0.3797 0.7812
0.7061 0.6636 0.0364
0.7061 0.8364 0.5364
0.8682 0.1629 0.0626
0.8682 0.3371 0.5626
0.9830 0.0628 0.7419
0.9830 0.4372 0.2419
```

## Properties
M_tot = 16.12 μB/cell

=====

arrangement b is the most stable structure; the next one sits 34 meV/atom above it.

=====

Arrangement a

First-principles (GGA+U) data for LiCoSiO4 after structural relaxation, as listed in Alexandria.

POSCAR file:
```
LiCoSiO4
1.0
-2.8093 2.9392 3.9231
2.8093 -2.9392 3.9231
2.8093 2.9392 -3.9231
Li Co Si O
2 2 2 8
Direct
0.5000 0.0000 0.0000
0.5000 0.5000 0.5000
0.0000 0.0000 0.0000
0.5000 0.0000 0.5000
0.1168 0.3668 0.7500
0.8832 0.6332 0.2500
0.2295 0.2469 0.9826
0.2357 0.7531 0.4826
0.2429 0.2513 0.5084
0.2429 0.7345 0.9916
0.7571 0.2655 0.0084
0.7571 0.7487 0.4916
0.7643 0.2469 0.5174
0.7705 0.7531 0.0174
```

## Properties
M_tot = 8.00 μB/cell

=====

Arrangement b

First-principles (GGA+U) data for LiCoSiO4 after structural relaxation, as listed in Alexandria.

POSCAR file:
```
LiCoSiO4
1.0
5.0723 0.0000 0.0000
0.0000 5.2047 0.0000
-5.0611 0.0000 6.6580
Li Co Si O
2 2 2 8
Direct
0.0000 0.1749 0.0000
0.0000 0.8251 0.5000
0.5012 0.1775 0.5028
0.5012 0.8225 0.0028
0.7452 0.3130 0.2495
0.7452 0.6870 0.7495
0.0859 0.1884 0.4502
0.0859 0.8116 0.9502
0.4403 0.2537 0.2643
0.4403 0.7463 0.7643
0.6612 0.1622 0.0502
0.6612 0.8378 0.5502
0.7820 0.3759 0.7337
0.7820 0.6241 0.2337
```

## Properties
M_tot = 8.08 μB/cell

=====

Arrangement c

First-principles (GGA+U) data for LiCoSiO4 after structural relaxation, as listed in Alexandria.

POSCAR file:
```
LiCoSiO4
1.0
5.0391 0.0000 0.0000
0.0000 5.6180 0.0000
-5.0102 0.0000 6.0558
Li Co Si O
2 2 2 8
Direct
0.0000 0.1605 0.0000
0.0000 0.8395 0.5000
0.7560 0.3348 0.2550
0.7560 0.6652 0.7550
0.2558 0.3459 0.7518
0.2558 0.6541 0.2518
0.0991 0.3867 0.2300
0.0991 0.6133 0.7300
0.3714 0.2150 0.9786
0.3714 0.7850 0.4786
0.5995 0.3703 0.7703
0.5995 0.6297 0.2703
0.9677 0.1859 0.5279
0.9677 0.8141 0.0279
```

## Properties
M_tot = 7.95 μB/cell

=====

arrangement b is the most stable structure; the next one sits 22 meV/atom above it.

=====

Arrangement a

First-principles (GGA+U) data for LiCoSi2O6 after structural relaxation, as listed in Alexandria.

POSCAR file:
```
LiCoSi2O6
1.0
4.8653 -4.3674 0.0000
4.8653 4.3674 0.0000
-1.8533 0.0000 5.0138
Li Co Si O
2 2 4 12
Direct
0.2440 0.7560 0.7500
0.7560 0.2440 0.2500
0.4006 0.5994 0.2500
0.5994 0.4006 0.7500
0.1143 0.2933 0.7359
0.2933 0.1143 0.2359
0.7067 0.8857 0.7641
0.8857 0.7067 0.2641
0.1283 0.6124 0.3253
0.1400 0.1482 0.4436
0.1482 0.1400 0.9436
0.2989 0.4705 0.8494
0.3876 0.8717 0.1747
0.4705 0.2989 0.3494
0.5295 0.7011 0.6506
0.6124 0.1283 0.8253
0.7011 0.5295 0.1506
0.8518 0.8600 0.0564
0.8600 0.8518 0.5564
0.8717 0.3876 0.6747
```

## Properties
M_tot = 7.95 μB/cell

=====

Arrangement b

First-principles (GGA+U) data for LiCoSi2O6 after structural relaxation, as listed in Alexandria.

POSCAR file:
```
LiCoSi2O6
1.0
3.6876 -3.6547 0.0000
3.6876 3.6547 0.0000
-3.4836 0.0000 9.8325
Li Co Si O
2 2 4 12
Direct
0.1031 0.8969 0.5000
0.8969 0.1031 0.0000
0.0153 0.2826 0.3259
0.2826 0.0153 0.8259
0.2484 0.5957 0.9991
0.5957 0.2484 0.4991
0.6992 0.8361 0.6702
0.8361 0.6992 0.1702
0.0123 0.8677 0.6710
0.2056 0.8879 0.9665
0.2441 0.3718 0.8606
0.3718 0.2441 0.3606
0.5186 0.9993 0.5620
0.5253 0.5931 0.1136
0.5931 0.5253 0.6136
0.6377 0.9543 0.8198
0.8677 0.0123 0.1710
0.8879 0.2056 0.4665
0.9543 0.6377 0.3198
0.9993 0.5186 0.0620
```

## Properties
M_tot = 7.85 μB/cell

=====

arrangement b is the most stable structure; the next one sits 6 meV/atom above it.

=====

Arrangement a

First-principles (GGA+U) data for LiCoSnO4 after structural relaxation, as listed in Alexandria.

POSCAR file:
```
LiCoSnO4
1.0
5.3895 -2.9841 0.0000
5.3895 2.9841 0.0000
-3.4688 0.0000 10.2105
Li Co Sn O
4 4 4 16
Direct
0.0563 0.5659 0.6887
0.4341 0.9437 0.8113
0.5659 0.0563 0.1887
0.9437 0.4341 0.3113
0.0000 0.0000 0.0000
0.0000 0.0000 0.5000
0.5000 0.5000 0.0000
0.5000 0.5000 0.5000
0.0000 0.5000 0.0000
0.2561 0.7439 0.2500
0.5000 0.0000 0.5000
0.7439 0.2561 0.7500
0.0989 0.1384 0.8778
0.1208 0.6497 0.8965
0.1384 0.0989 0.3778
0.1617 0.6309 0.3849
0.3503 0.8792 0.6035
0.3654 0.3913 0.1179
0.3691 0.8383 0.1151
0.3913 0.3654 0.6179
0.6087 0.6346 0.3821
0.6309 0.1617 0.8849
0.6346 0.6087 0.8821
0.6497 0.1208 0.3965
0.8383 0.3691 0.6151
0.8616 0.9011 0.6222
0.8792 0.3503 0.1035
0.9011 0.8616 0.1222
```

## Properties
M_tot = 16.00 μB/cell

=====

Arrangement b

First-principles (GGA+U) data for LiCoSnO4 after structural relaxation, as listed in Alexandria.

POSCAR file:
```
LiCoSnO4
1.0
6.0757 0.0000 0.0000
0.0000 6.0757 0.0000
0.0000 0.0000 8.6254
Li Co Sn O
4 4 4 16
Direct
0.0000 0.2174 0.0000
0.0000 0.7826 0.5000
0.2174 0.0000 0.2500
0.7826 0.0000 0.7500
0.2453 0.2453 0.6250
0.2453 0.7547 0.8750
0.7547 0.2453 0.3750
0.7547 0.7547 0.1250
0.2313 0.5000 0.2500
0.5000 0.2313 0.0000
0.5000 0.7687 0.5000
0.7687 0.5000 0.7500
0.0040 0.2563 0.7495
0.0040 0.7437 0.7505
0.2563 0.0040 0.5005
0.2563 0.9960 0.9995
0.2572 0.4831 0.0077
0.2572 0.5169 0.4923
0.4831 0.2572 0.2423
0.4831 0.7428 0.2577
0.5169 0.2572 0.7577
0.5169 0.7428 0.7423
0.7428 0.4831 0.9923
0.7428 0.5169 0.5077
0.7437 0.0040 0.4995
0.7437 0.9960 0.0005
0.9960 0.2563 0.2505
0.9960 0.7437 0.2495
```

## Properties
M_tot = 16.13 μB/cell

=====

arrangement a is the most stable structure; the next one sits 21 meV/atom above it.

=====

Arrangement a

First-principles (GGA+U) data for LiCoSnO4 after structural relaxation, as listed in Alexandria.

POSCAR file:
```
LiCoSnO4
1.0
-2.9744 3.1660 4.1176
2.9744 -3.1660 4.1176
2.9744 3.1660 -4.1176
Li Co Sn O
2 2 2 8
Direct
0.0000 0.0000 0.0000
0.5000 0.0000 0.5000
0.5000 0.0000 0.0000
0.5000 0.5000 0.5000
0.0000 0.5000 0.5000
0.5000 0.5000 0.0000
0.2640 0.2737 0.5097
0.2640 0.7543 0.9903
0.2986 0.7488 0.5498
0.3010 0.2512 0.0498
0.6990 0.7488 0.9502
0.7014 0.2512 0.4502
0.7360 0.2457 0.0097
0.7360 0.7263 0.4903
```

## Properties
M_tot = 0.08 μB/cell

=====

Arrangement b

First-principles (GGA+U) data for LiCoSnO4 after structural relaxation, as listed in Alexandria.

POSCAR file:
```
LiCoSnO4
1.0
5.9261 0.0000 0.0000
-2.9588 5.4060 0.0000
-2.9621 -1.7935 5.0992
Li Co Sn O
2 2 2 8
Direct
0.2465 0.1212 0.3797
0.7535 0.8788 0.6203
0.0000 0.5000 0.0000
0.5000 0.5000 0.0000
0.0000 0.5000 0.5000
0.5000 0.0000 0.0000
0.0131 0.7370 0.7633
0.0481 0.2999 0.7766
0.4721 0.7238 0.2003
0.4811 0.7516 0.7479
0.5189 0.2484 0.2521
0.5279 0.2762 0.7997
0.9519 0.7001 0.2234
0.9869 0.2630 0.2367
```

## Properties
M_tot = 6.00 μB/cell

=====

arrangement b is the most stable structure; the next one sits 7 meV/atom above it.